Record 1
Compound: CdHgCl
Source: the Alexandria database
Functional: GGA-PBEsol
Structure: optimized geometry

Unit cell a=4.9478 b=4.9478 c=4.9478 alpha=60.00 beta=60.00 gamma=60.00
Positions (direct):
Cd 0.5000 0.5000 0.5000
Cl 0.7500 0.7500 0.7500
Hg 0.0000 0.0000 0.0000

M_tot   0.00 μB/atom
E_form (uncorrected)   0.09 eV per atom
Calculated volume   28.55 Å³/atom

Record 2
Compound: CdHgCl2
Source: the Alexandria database
Functional: GGA-PBEsol
Structure: optimized geometry

Unit cell a=3.7584 b=3.7584 c=9.3618 alpha=78.42 beta=78.42 gamma=60.00
Positions (direct):
Cl 0.7204 0.7204 0.8389
Cl 0.2796 0.2796 0.1611
Cd 0.0000 0.0000 0.0000
Hg 0.5000 0.5000 0.5000

Excess energy over the best structure of this formula in the dataset   0.000 eV/atom
M_tot   0.00 μB/atom
E_form (uncorrected)   -0.72 eV per atom
Calculated volume   27.85 Å³/atom

Copy entry 1 word for word.
Compound: CdHgCl
Source: the Alexandria database
Functional: GGA-PBEsol
Structure: optimized geometry

Unit cell a=4.9478 b=4.9478 c=4.9478 alpha=60.00 beta=60.00 gamma=60.00
Positions (direct):
Cd 0.5000 0.5000 0.5000
Cl 0.7500 0.7500 0.7500
Hg 0.0000 0.0000 0.0000

M_tot   0.00 μB/atom
E_form (uncorrected)   0.09 eV per atom
Calculated volume   28.55 Å³/atom